(1)
! PBE Fe4AgPd15, optimized geometry; values from VASP
! Uncorrected energy ... -5.816 eV per atom
! E_form ... -1.734 eV/f.u.
! N(E_F) ... 16.45 states/eV/f.u.
! Symmetry ... P4/mmm
! Theoretical density ... 10.69 g/cm³
&SYSTEM
  ibrav = 0, nat = 20, ntyp = 3
/
ATOMIC_SPECIES
Pd 106.42 Pd.upf
Fe 55.84 Fe.upf
Ag 107.87 Ag.upf
ATOMIC_POSITIONS angstrom
Pd 1.960 0.000 9.744
Pd 1.960 0.000 2.078
Pd 1.960 1.960 7.820
Pd 0.000 1.960 5.903
Pd 0.000 1.960 9.744
Pd 0.000 1.960 17.410
Pd 1.960 1.960 15.502
Pd 1.960 1.960 11.668
Pd 1.960 0.000 13.586
Pd 1.960 0.000 17.410
Pd 0.000 1.960 2.078
Pd 1.960 1.960 0.000
Pd 1.960 0.000 5.903
Pd 0.000 1.960 13.586
Pd 1.960 1.960 3.986
Fe 0.000 0.000 11.678
Fe 0.000 0.000 15.578
Fe 0.000 0.000 3.910
Fe 0.000 0.000 7.811
Ag 0.000 0.000 0.000
CELL_PARAMETERS angstrom
3.919 0.000 0.000
0.000 3.919 0.000
0.000 0.000 19.488



(2)
! PBE Fe3AgPd12, optimized geometry; values from VASP
! Uncorrected energy ... -5.736 eV per atom
! E_form ... -1.225 eV/f.u.
! N(E_F) ... 15.24 states/eV/f.u.
! Symmetry ... P4/mmm
! Theoretical density ... 10.72 g/cm³
&SYSTEM
  ibrav = 0, nat = 16, ntyp = 3
/
ATOMIC_SPECIES
Fe 55.84 Fe.upf
Pd 106.42 Pd.upf
Ag 107.87 Ag.upf
ATOMIC_POSITIONS angstrom
Fe -0.437 -2.407 7.405
Fe -0.655 -3.609 11.101
Fe -0.219 -1.206 3.709
Pd -2.096 -4.112 8.766
Pd 0.440 -5.673 12.423
Pd -2.310 -5.289 12.385
Pd -0.576 -3.841 2.906
Pd -0.790 -5.021 6.535
Pd 0.868 -3.316 5.174
Pd -0.353 -2.613 -0.870
Pd -1.668 -1.755 1.517
Pd -1.882 -2.932 5.137
Pd 1.082 -2.139 1.555
Pd 0.654 -4.496 8.803
Pd -1.005 -6.200 10.164
Ag 0.000 0.000 0.000
CELL_PARAMETERS angstrom
-3.103 -2.229 -0.908
2.397 -2.997 -0.833
-0.874 -4.815 14.810



> The highest E_form belongs to which entry?

Fe3AgPd12